Entry 1:
# Dy13Y3, optimized geometry, DFT PBE
# - relative energy among the computed polymorphs (eV per atom) = 0.000
# - volume (Å³/f.u.) = 514
# - total moment (Bohr magnetons per cell) = 0.0
# - final energy (eV per atom) = -4.94
# - crystal system = orthorhombic
data_Dy13Y3
_chemical_formula_sum 'Dy26 Y6'
_cell_length_a 7.265
_cell_length_b 11.258
_cell_length_c 12.560
_cell_angle_alpha 90.00
_cell_angle_beta 90.00
_cell_angle_gamma 90.00
_space_group_name_H-M_alt 'A m m 2'
_space_group_IT_number 38
loop_
_space_group_symop_operation_xyz
'x,y,z'
'-x,-y,z'
'-x,y,z'
'x,-y,z'
'x,y+1/2,z+1/2'
'-x,-y+1/2,z+1/2'
'-x,y+1/2,z+1/2'
'x,-y+1/2,z+1/2'
loop_
_atom_site_label
_atom_site_fract_x
_atom_site_fract_y
_atom_site_fract_z
_atom_site_occupancy
Dy1 0.000 0.000 0.000 1
Dy2 0.000 0.000 0.499 1
Dy3 0.000 0.249 0.166 1
Dy4 0.250 0.000 0.250 1
Dy5 0.250 0.250 0.417 1
Dy6 0.500 0.000 0.499 1
Dy7 0.500 0.250 0.167 1
Y1 0.250 0.000 0.749 1
Y2 0.500 0.000 0.000 1

Entry 2:
# B3P2, optimized geometry, DFT PBE
# - relative energy among the computed polymorphs (eV per atom) = 0.155
# - volume (Å³/f.u.) = 62
# - total moment (Bohr magnetons per cell) = 0.0
# - final energy (eV per atom) = -5.88
# - crystal system = triclinic
data_B3P2
_chemical_formula_sum 'B3 P2'
_cell_length_a 3.072
_cell_length_b 4.294
_cell_length_c 4.970
_cell_angle_alpha 100.78
_cell_angle_beta 100.11
_cell_angle_gamma 99.88
_space_group_name_H-M_alt 'P 1'
_space_group_IT_number 1
loop_
_space_group_symop_operation_xyz
'x,y,z'
loop_
_atom_site_label
_atom_site_fract_x
_atom_site_fract_y
_atom_site_fract_z
_atom_site_occupancy
B1 0.000 0.000 0.000 1
B2 0.131 0.789 0.260 1
B3 0.622 0.653 0.330 1
P1 0.564 0.272 0.013 1
P2 0.749 0.604 0.717 1

Entry 3:
# KRhN2, optimized geometry, DFT PBE
# - relative energy among the computed polymorphs (eV per atom) = 1.229
# - volume (Å³/f.u.) = 47
# - formation energy from raw total energies (meV per atom) = 1624
# - total moment (Bohr magnetons per cell) = 0.0
# - final energy (eV per atom) = -4.65
# - crystal system = cubic
data_KRhN2
_chemical_formula_sum 'K4 Rh4 N8'
_cell_length_a 5.742
_cell_length_b 5.742
_cell_length_c 5.742
_cell_angle_alpha 90.00
_cell_angle_beta 90.00
_cell_angle_gamma 90.00
_space_group_name_H-M_alt 'F m -3 m'
_space_group_IT_number 225
_space_group_name_Hall '-F 4 2 3'
loop_
_atom_site_label
_atom_site_fract_x
_atom_site_fract_y
_atom_site_fract_z
_atom_site_occupancy
K1 0.000 0.000 0.000 1
Rh1 0.000 0.000 0.500 1
N1 0.250 0.250 0.250 1

Entry 4:
# BaSi2Rh2, optimized geometry, DFT PBE
# - volume (Å³/f.u.) = 104
# - formation energy from raw total energies (meV per atom) = -873
# - total moment (Bohr magnetons per cell) = 0.0
# - final energy (eV per atom) = -6.37
# - crystal system = monoclinic
data_BaSi2Rh2
_chemical_formula_sum 'Ba4 Si8 Rh8'
_cell_length_a 7.971
_cell_length_b 6.763
_cell_length_c 7.738
_cell_angle_alpha 90.00
_cell_angle_beta 91.32
_cell_angle_gamma 90.00
_space_group_name_H-M_alt 'P 1 21/c 1'
_space_group_IT_number 14
loop_
_space_group_symop_operation_xyz
'x,y,z'
'-x,-y,-z'
'-x,y+1/2,-z+1/2'
'x,-y+1/2,z+1/2'
loop_
_atom_site_label
_atom_site_fract_x
_atom_site_fract_y
_atom_site_fract_z
_atom_site_occupancy
Ba1 0.237 0.117 0.497 1
Si1 0.074 0.579 0.372 1
Si2 0.436 0.650 0.686 1
Rh1 0.138 0.668 0.671 1
Rh2 0.378 0.604 0.386 1

> Which of these has the highest volume?

Dy13Y3

> The lowest volume belongs to which entry?

KRhN2